Record 1
Below is crystalline La12Pm6Ho at its relaxed geometry, with properties calculated at the PBE-GGA level.

Space group: R-3
Final energy in eV/atom: -4.835
Volume in Å³/cell: 679.97
Spin magnetization in μB per atom: 0.000
DOS(E_F) in states/eV/cell: 36.6
Formation energy in eV per atom: 0.018

Cell lengths 9.7694, 9.7694, 9.7694 Å; angles 110.81, 110.81, 110.81 degrees
Sites, in units of the cell vectors:
La 0.0558 0.5802 0.3703
La 0.1041 0.1564 0.7374
La 0.1564 0.7374 0.1041
La 0.2626 0.8959 0.8436
La 0.3703 0.0558 0.5802
La 0.4198 0.6297 0.9442
La 0.5802 0.3703 0.0558
La 0.6297 0.9442 0.4198
La 0.7374 0.1041 0.1564
La 0.8436 0.2626 0.8959
La 0.8959 0.8436 0.2626
La 0.9442 0.4198 0.6297
Pm 0.2112 0.3159 0.4709
Pm 0.3159 0.4709 0.2112
Pm 0.4709 0.2112 0.3159
Pm 0.5291 0.7888 0.6841
Pm 0.6841 0.5291 0.7888
Pm 0.7888 0.6841 0.5291
Ho 0.0000 0.0000 0.0000

Record 2
Below is crystalline La8Pm2Ho3 at its relaxed geometry, with properties calculated at the PBE-GGA level.

Space group: C2/m
Final energy in eV/atom: -4.681
Volume in Å³/cell: 462.09
Spin magnetization in μB per atom: 0.000
DOS(E_F) in states/eV/cell: 20.6
Formation energy in eV per atom: 0.139

Cell lengths 9.0621, 9.0621, 6.1951 Å; angles 107.49, 107.49, 81.96 degrees
Sites, in units of the cell vectors:
La 0.0838 0.0838 0.2428
La 0.1003 0.5750 0.8474
La 0.3622 0.3622 0.3852
La 0.4250 0.8997 0.1526
La 0.5750 0.1003 0.8474
La 0.6378 0.6378 0.6148
La 0.8997 0.4250 0.1526
La 0.9162 0.9162 0.7572
Pm 0.1870 0.1870 0.8285
Pm 0.8130 0.8130 0.1715
Ho 0.2319 0.7681 0.5000
Ho 0.5000 0.5000 0.0000
Ho 0.7681 0.2319 0.5000

Record 3
Below is crystalline La6Pm3Ho at its relaxed geometry, with properties calculated at the PBE-GGA level.

Space group: P2_1/m
Final energy in eV/atom: -4.799
Volume in Å³/cell: 709.65
Spin magnetization in μB per atom: 0.000
DOS(E_F) in states/eV/cell: 28.7
Formation energy in eV per atom: 0.041

Cell lengths 11.7821, 3.6004, 17.7309 Å; angles 90.00, 109.35, 90.00 degrees
Sites, in units of the cell vectors:
La 0.0479 0.2500 0.1069
La 0.1494 0.2500 0.7987
La 0.2570 0.2500 0.5056
La 0.3470 0.7500 0.1924
La 0.4451 0.7500 0.9002
La 0.4462 0.2500 0.3938
La 0.5538 0.7500 0.6062
La 0.5549 0.2500 0.0998
La 0.6530 0.2500 0.8076
La 0.7430 0.7500 0.4944
La 0.8506 0.7500 0.2013
La 0.9521 0.7500 0.8931
Pm 0.0527 0.7500 0.6010
Pm 0.2459 0.2500 0.9989
Pm 0.3472 0.2500 0.7026
Pm 0.6528 0.7500 0.2974
Pm 0.7541 0.7500 0.0011
Pm 0.9473 0.2500 0.3990
Ho 0.1526 0.7500 0.3110
Ho 0.8474 0.2500 0.6890

Record 4
Below is crystalline La4Pm3Ho5 at its relaxed geometry, with properties calculated at the PBE-GGA level.

Space group: C2/m
Final energy in eV/atom: -4.526
Volume in Å³/cell: 417.11
Spin magnetization in μB per atom: 0.024
DOS(E_F) in states/eV/cell: 20.1
Formation energy in eV per atom: 0.212

Cell lengths 8.6952, 8.6952, 9.5156 Å; angles 115.43, 115.43, 40.71 degrees
Sites, in units of the cell vectors:
La 0.0872 0.0872 0.4484
La 0.2133 0.2133 0.8871
La 0.7867 0.7867 0.1129
La 0.9128 0.9128 0.5516
Pm 0.2154 0.2154 0.2397
Pm 0.5000 0.5000 0.0000
Pm 0.7846 0.7846 0.7603
Ho 0.0000 0.0000 0.0000
Ho 0.3307 0.3307 0.6215
Ho 0.4311 0.4311 0.2991
Ho 0.5689 0.5689 0.7009
Ho 0.6693 0.6693 0.3785

Record 5
Below is crystalline La4Pm2Ho5 at its relaxed geometry, with properties calculated at the PBE-GGA level.

Space group: C2/m
Final energy in eV/atom: -4.614
Volume in Å³/cell: 379.10
Spin magnetization in μB per atom: 0.000
DOS(E_F) in states/eV/cell: 17.9
Formation energy in eV per atom: 0.122

Cell lengths 12.3679, 12.3679, 8.7518 Å; angles 93.94, 93.94, 16.49 degrees
Sites, in units of the cell vectors:
La 0.0408 0.0408 0.3407
La 0.4100 0.4100 0.3023
La 0.5900 0.5900 0.6977
La 0.9592 0.9592 0.6593
Pm 0.2739 0.2739 0.1733
Pm 0.7261 0.7261 0.8267
Ho 0.1318 0.1318 0.0509
Ho 0.1881 0.1881 0.4700
Ho 0.5000 0.5000 0.0000
Ho 0.8119 0.8119 0.5300
Ho 0.8682 0.8682 0.9491

Record 6
Below is crystalline La6Pm2Ho5 at its relaxed geometry, with properties calculated at the PBE-GGA level.

Space group: Pbam
Final energy in eV/atom: -4.655
Volume in Å³/cell: 908.55
Spin magnetization in μB per atom: 0.000
DOS(E_F) in states/eV/cell: 37.3
Formation energy in eV per atom: 0.111

Cell lengths 11.9562, 20.7704, 3.6586 Å; angles 90.00, 90.00, 90.00 degrees
Sites, in units of the cell vectors:
La 0.0504 0.0785 0.0000
La 0.0762 0.3641 0.0000
La 0.1807 0.6270 0.5000
La 0.3193 0.1270 0.5000
La 0.4238 0.8641 0.0000
La 0.4496 0.5785 0.0000
La 0.5504 0.4215 0.0000
La 0.5762 0.1359 0.0000
La 0.6807 0.8730 0.5000
La 0.8193 0.3730 0.5000
La 0.9238 0.6359 0.0000
La 0.9496 0.9215 0.0000
Pm 0.1652 0.7857 0.0000
Pm 0.3348 0.2857 0.0000
Pm 0.6652 0.7143 0.0000
Pm 0.8348 0.2143 0.0000
Ho 0.0000 0.5000 0.5000
Ho 0.0944 0.2235 0.5000
Ho 0.2059 0.9429 0.5000
Ho 0.2941 0.4429 0.5000
Ho 0.4056 0.7235 0.5000
Ho 0.5000 0.0000 0.5000
Ho 0.5944 0.2765 0.5000
Ho 0.7059 0.5571 0.5000
Ho 0.7941 0.0571 0.5000
Ho 0.9056 0.7765 0.5000

Record 7
Below is crystalline LaPm8Ho6 at its relaxed geometry, with properties calculated at the PBE-GGA level.

Space group: R-3
Final energy in eV/atom: -4.533
Volume in Å³/cell: 506.87
Spin magnetization in μB per atom: 0.000
DOS(E_F) in states/eV/cell: 23.4
Formation energy in eV per atom: 0.160

Cell lengths 8.6421, 8.6421, 8.6421 Å; angles 65.07, 65.07, 65.07 degrees
Sites, in units of the cell vectors:
La 0.0000 0.0000 0.0000
Pm 0.0849 0.7734 0.6615
Pm 0.2266 0.3385 0.9151
Pm 0.3385 0.9151 0.2266
Pm 0.4273 0.4273 0.4273
Pm 0.5727 0.5727 0.5727
Pm 0.6615 0.0849 0.7734
Pm 0.7734 0.6615 0.0849
Pm 0.9151 0.2266 0.3385
Ho 0.1068 0.5501 0.2641
Ho 0.2641 0.1068 0.5501
Ho 0.4499 0.7359 0.8932
Ho 0.5501 0.2641 0.1068
Ho 0.7359 0.8932 0.4499
Ho 0.8932 0.4499 0.7359

Record 8
Below is crystalline LaPm2Ho at its relaxed geometry, with properties calculated at the PBE-GGA level.

Space group: P4/mmm
Final energy in eV/atom: -4.732
Volume in Å³/cell: 136.63
Spin magnetization in μB per atom: 0.000
DOS(E_F) in states/eV/cell: 6.6
Formation energy in eV per atom: 0.020

Cell lengths 5.1327, 5.1327, 5.1861 Å; angles 90.00, 90.00, 90.00 degrees
Sites, in units of the cell vectors:
La 0.0000 0.0000 0.0000
Pm 0.0000 0.5000 0.5000
Pm 0.5000 0.0000 0.5000
Ho 0.5000 0.5000 0.0000

Record 9
Below is crystalline La3Pm2Ho2 at its relaxed geometry, with properties calculated at the PBE-GGA level.

Space group: C2/m
Final energy in eV/atom: -4.665
Volume in Å³/cell: 242.56
Spin magnetization in μB per atom: 0.000
DOS(E_F) in states/eV/cell: 11.2
Formation energy in eV per atom: 0.112

Cell lengths 9.1240, 9.1240, 8.6931 Å; angles 118.10, 118.10, 22.46 degrees
Sites, in units of the cell vectors:
La 0.0000 0.0000 0.0000
La 0.2133 0.2133 0.2941
La 0.7867 0.7867 0.7059
Pm 0.4356 0.4356 0.5885
Pm 0.5644 0.5644 0.4115
Ho 0.1449 0.1449 0.8290
Ho 0.8551 0.8551 0.1710

Record 10
Below is crystalline La3Pm2Ho3 at its relaxed geometry, with properties calculated at the PBE-GGA level.

Space group: Immm
Final energy in eV/atom: -4.725
Volume in Å³/cell: 272.74
Spin magnetization in μB per atom: 0.000
DOS(E_F) in states/eV/cell: 13.6
Formation energy in eV per atom: 0.027

Cell lengths 10.9894, 10.9894, 10.9894 Å; angles 153.28, 152.76, 38.53 degrees
Sites, in units of the cell vectors:
La 0.0000 0.0000 0.0000
La 0.3772 0.8772 0.5000
La 0.6228 0.1228 0.5000
Pm 0.2487 0.2487 0.0000
Pm 0.7513 0.7513 0.0000
Ho 0.1264 0.6264 0.5000
Ho 0.5000 0.5000 0.0000
Ho 0.8736 0.3736 0.5000

Record 11
Below is crystalline La4Pm5Ho at its relaxed geometry, with properties calculated at the PBE-GGA level.

Space group: I4mm
Final energy in eV/atom: -4.605
Volume in Å³/cell: 356.59
Spin magnetization in μB per atom: 0.000
DOS(E_F) in states/eV/cell: 13.3
Formation energy in eV per atom: 0.200

Cell lengths 8.1412, 8.1412, 8.1412 Å; angles 98.73, 98.73, 134.15 degrees
Sites, in units of the cell vectors:
La 0.0000 0.3250 0.3250
La 0.0000 0.6750 0.6750
La 0.3250 0.0000 0.3250
La 0.6750 0.0000 0.6750
Pm 0.2715 0.2715 0.6220
Pm 0.2715 0.6495 0.0000
Pm 0.6495 0.2715 0.0000
Pm 0.6495 0.6495 0.3780
Pm 0.7341 0.7341 0.0000
Ho 0.2024 0.2024 0.0000

Record 12
Below is crystalline La8Pm5Ho at its relaxed geometry, with properties calculated at the PBE-GGA level.

Space group: I-4
Final energy in eV/atom: -4.612
Volume in Å³/cell: 510.39
Spin magnetization in μB per atom: 0.000
DOS(E_F) in states/eV/cell: 22.5
Formation energy in eV per atom: 0.227

Cell lengths 8.7227, 8.7227, 8.7227 Å; angles 110.52, 110.52, 107.40 degrees
Sites, in units of the cell vectors:
La 0.0775 0.6822 0.7688
La 0.1723 0.2738 0.7630
La 0.3178 0.0865 0.3953
La 0.5108 0.4092 0.2370
La 0.5908 0.8277 0.1015
La 0.6913 0.9225 0.6047
La 0.7262 0.4892 0.8985
La 0.9135 0.3087 0.2312
Pm 0.2227 0.6211 0.1931
Pm 0.3789 0.5720 0.6015
Pm 0.4280 0.0296 0.8069
Pm 0.7500 0.2500 0.5000
Pm 0.9704 0.7773 0.3985
Ho 0.0000 0.0000 0.0000

Record 13
Below is crystalline La2Pm3Ho2 at its relaxed geometry, with properties calculated at the PBE-GGA level.

Space group: P-1
Final energy in eV/atom: -4.731
Volume in Å³/cell: 239.60
Spin magnetization in μB per atom: 0.000
DOS(E_F) in states/eV/cell: 11.1
Formation energy in eV per atom: 0.021

Cell lengths 3.6503, 8.1154, 8.9602 Å; angles 68.42, 89.92, 77.06 degrees
Sites, in units of the cell vectors:
La 0.2150 0.0700 0.1443
La 0.7850 0.9300 0.8557
Pm 0.3595 0.7811 0.5705
Pm 0.5000 0.5000 0.0000
Pm 0.6405 0.2189 0.4295
Ho 0.0701 0.3606 0.7118
Ho 0.9299 0.6394 0.2882

Record 14
Below is crystalline LaPm5Ho2 at its relaxed geometry, with properties calculated at the PBE-GGA level.

Space group: Pbam
Final energy in eV/atom: -4.714
Volume in Å³/cell: 541.31
Spin magnetization in μB per atom: 0.000
DOS(E_F) in states/eV/cell: 23.0
Formation energy in eV per atom: 0.016

Cell lengths 7.2688, 14.5433, 5.1206 Å; angles 90.00, 90.00, 90.00 degrees
Sites, in units of the cell vectors:
La 0.0000 0.0000 0.0000
La 0.5000 0.5000 0.0000
Pm 0.0000 0.5000 0.0000
Pm 0.0017 0.2513 0.0000
Pm 0.2483 0.6257 0.5000
Pm 0.2517 0.1257 0.5000
Pm 0.4983 0.7513 0.0000
Pm 0.5000 0.0000 0.0000
Pm 0.5017 0.2487 0.0000
Pm 0.7483 0.8743 0.5000
Pm 0.7517 0.3743 0.5000
Pm 0.9983 0.7487 0.0000
Ho 0.2493 0.8741 0.5000
Ho 0.2507 0.3741 0.5000
Ho 0.7493 0.6259 0.5000
Ho 0.7507 0.1259 0.5000

Record 15
Below is crystalline LaPm12Ho7 at its relaxed geometry, with properties calculated at the PBE-GGA level.

Space group: Im-3
Final energy in eV/atom: -4.035
Volume in Å³/cell: 769.63
Spin magnetization in μB per atom: 0.000
DOS(E_F) in states/eV/cell: 30.0
Formation energy in eV per atom: 0.664

Cell lengths 9.9993, 9.9993, 9.9993 Å; angles 109.47, 109.47, 109.47 degrees
Sites, in units of the cell vectors:
La 0.0000 0.0000 0.0000
Pm 0.0012 0.7450 0.2562
Pm 0.2550 0.2562 0.5112
Pm 0.2550 0.7438 0.9988
Pm 0.2562 0.0012 0.7450
Pm 0.2562 0.5112 0.2550
Pm 0.4888 0.7450 0.7438
Pm 0.5112 0.2550 0.2562
Pm 0.7438 0.4888 0.7450
Pm 0.7438 0.9988 0.2550
Pm 0.7450 0.2562 0.0012
Pm 0.7450 0.7438 0.4888
Pm 0.9988 0.2550 0.7438
Ho 0.0000 0.0000 0.5000
Ho 0.0000 0.5000 0.0000
Ho 0.0000 0.5000 0.5000
Ho 0.5000 0.0000 0.0000
Ho 0.5000 0.0000 0.5000
Ho 0.5000 0.5000 0.0000
Ho 0.5000 0.5000 0.5000

Record 16
Below is crystalline La2Pm5Ho2 at its relaxed geometry, with properties calculated at the PBE-GGA level.

Space group: C2/m
Final energy in eV/atom: -4.709
Volume in Å³/cell: 308.43
Spin magnetization in μB per atom: 0.000
DOS(E_F) in states/eV/cell: 14.4
Formation energy in eV per atom: 0.042

Cell lengths 8.9831, 8.9831, 9.9319 Å; angles 99.26, 99.26, 22.96 degrees
Sites, in units of the cell vectors:
La 0.1757 0.1757 0.3744
La 0.8243 0.8243 0.6256
Pm 0.1636 0.1636 0.7194
Pm 0.3448 0.3448 0.9643
Pm 0.5000 0.5000 0.5000
Pm 0.6552 0.6552 0.0357
Pm 0.8364 0.8364 0.2806
Ho 0.0017 0.0017 0.1674
Ho 0.9983 0.9983 0.8326

Record 17
Below is crystalline La2Pm12Ho5 at its relaxed geometry, with properties calculated at the PBE-GGA level.

Space group: C2/m
Final energy in eV/atom: -4.600
Volume in Å³/cell: 653.79
Spin magnetization in μB per atom: 0.000
DOS(E_F) in states/eV/cell: 26.0
Formation energy in eV per atom: 0.124

Cell lengths 9.5583, 9.5583, 7.9886 Å; angles 90.20, 90.20, 63.61 degrees
Sites, in units of the cell vectors:
La 0.2125 0.7875 0.0000
La 0.7875 0.2125 0.0000
Pm 0.0388 0.5751 0.2070
Pm 0.1640 0.1640 0.1244
Pm 0.1675 0.6205 0.6105
Pm 0.3795 0.8325 0.3895
Pm 0.4249 0.9612 0.7930
Pm 0.4487 0.4487 0.2885
Pm 0.5513 0.5513 0.7115
Pm 0.5751 0.0388 0.2070
Pm 0.6205 0.1675 0.6105
Pm 0.8325 0.3795 0.3895
Pm 0.8360 0.8360 0.8756
Pm 0.9612 0.4249 0.7930
Ho 0.0000 0.0000 0.5000
Ho 0.2477 0.2477 0.4920
Ho 0.3531 0.3531 0.9171
Ho 0.6469 0.6469 0.0829
Ho 0.7523 0.7523 0.5080

Record 18
Below is crystalline La3Pm8Ho at its relaxed geometry, with properties calculated at the PBE-GGA level.

Space group: I-42m
Final energy in eV/atom: -4.246
Volume in Å³/cell: 456.94
Spin magnetization in μB per atom: 0.000
DOS(E_F) in states/eV/cell: 18.7
Formation energy in eV per atom: 0.535

Cell lengths 8.5373, 8.5373, 8.5373 Å; angles 117.17, 117.17, 94.97 degrees
Sites, in units of the cell vectors:
La 0.0000 0.0000 0.0000
La 0.2500 0.7500 0.5000
La 0.7500 0.2500 0.5000
Pm 0.1299 0.1299 0.7558
Pm 0.2457 0.7410 0.0000
Pm 0.2590 0.2590 0.5047
Pm 0.3742 0.3742 0.2442
Pm 0.6258 0.8701 0.0000
Pm 0.7410 0.2457 0.0000
Pm 0.7543 0.7543 0.4953
Pm 0.8701 0.6258 0.0000
Ho 0.5000 0.5000 0.0000

Record 19
Below is crystalline La5Pm3Ho at its relaxed geometry, with properties calculated at the PBE-GGA level.

Space group: I4/mcm
Final energy in eV/atom: -4.560
Volume in Å³/cell: 644.26
Spin magnetization in μB per atom: 0.001
DOS(E_F) in states/eV/cell: 33.5
Formation energy in eV per atom: 0.270

Cell lengths 10.0968, 10.0968, 10.0968 Å; angles 126.44, 126.44, 79.17 degrees
Sites, in units of the cell vectors:
La 0.0000 0.0000 0.0000
La 0.0689 0.5689 0.9185
La 0.1504 0.0689 0.5000
La 0.3496 0.8496 0.9185
La 0.4311 0.3496 0.5000
La 0.5000 0.5000 0.0000
La 0.5689 0.6504 0.5000
La 0.6504 0.1504 0.0815
La 0.8496 0.9311 0.5000
La 0.9311 0.4311 0.0815
Pm 0.1147 0.3853 0.5000
Pm 0.2500 0.2500 0.0000
Pm 0.3853 0.8853 0.2705
Pm 0.6147 0.1147 0.7295
Pm 0.7500 0.7500 0.0000
Pm 0.8853 0.6147 0.5000
Ho 0.2500 0.7500 0.5000
Ho 0.7500 0.2500 0.5000